VASP calculation (PBE with a Hubbard U) on a relaxed NaCoCu2F6 crystal.

abc: 5.4046 5.5443 5.8076
angles: 63.17 61.38 59.20
With the nearest neighbours (Å) after each atom.
Fractional positions:
F1 0.3809 0.7146 0.7702  2 Cu 2.04-2.25, 1 Co 2.12, 1 Na 2.24
F2 0.1582 0.4045 0.7342  2 Cu 2.04-2.26, 1 Co 2.11, 1 Na 2.25
Cu1 0.0148 0.0175 0.9638  4 F 1.98-2.13
Na1 0.8014 0.8142 0.5766  6 F 2.24-2.45
Co1 0.3153 0.3216 0.0417  6 F 2.03-2.12
F3 0.7329 0.1133 0.7814  1 Cu 1.98, 1 Co 2.09
F4 0.2284 0.9436 0.2138  2 Cu 2.05-2.28, 1 Co 2.07
Cu2 0.5179 0.5171 0.4432  3 F 1.99-2.12
F5 0.9122 0.5729 0.2585  1 Cu 1.99, 1 Co 2.03
F6 0.5997 0.2425 0.2318  1 Co 2.07, 2 Cu 2.12-2.13

Symmetry: No. 1
DOS(E_F): 3.32 states/eV per cell
Uncorrected energy: -4.431 eV per atom